Density functional theory data (PBE) for crystalline RbMgZnSn2 at its relaxed geometry.

Its formation energy is 0.15 eV/atom. The calculation puts the density of states at the Fermi level at 0.44 states/eV/atom.

Lattice parameters (Å, degrees): 5.5275 5.5275 5.1834 90.00 90.00 90.00
Closest atoms and distances in Å follow each position.
Fractional coordinates of all 5 atoms:
1 Rb 0.0000 0.0000 0.0000  8 Sn 3.79, 4 Mg 3.91
2 Mg 0.5000 0.5000 0.0000  2 Zn 2.59
3 Zn 0.5000 0.5000 0.5000  2 Mg 2.59, 4 Sn 2.76
4 Sn 0.0000 0.5000 0.5000  2 Zn 2.76
5 Sn 0.5000 0.0000 0.5000  2 Zn 2.76

---

Density functional theory data (PBE) for crystalline KMg5Hg7 at its relaxed geometry.

Its formation energy is -0.17 eV/atom. The calculation puts the density of states at the Fermi level at 0.36 states/eV/atom.

Lattice parameters (Å, degrees): 7.7874 7.7874 7.7874 133.16 96.65 101.54
Closest atoms and distances in Å follow each position.
Fractional coordinates of all 13 atoms:
1 K 0.0000 0.0000 0.0000  4 Hg 3.29-3.48
2 Mg 0.4846 0.4964 0.4993  7 Hg 2.92-3.15, 3 Mg 3.03-3.16
3 Mg 0.4846 0.9853 0.9882  7 Hg 2.92-3.15, 3 Mg 3.03-3.16
4 Mg 0.7489 0.2489 0.5000  6 Hg 2.98-3.20, 4 Mg 3.09
5 Mg 0.9971 0.4964 0.0118  7 Hg 2.92-3.15, 3 Mg 3.03-3.16
6 Mg 0.9971 0.9853 0.5007  7 Hg 2.92-3.15, 3 Mg 3.03-3.16
7 Hg 0.1747 0.4811 0.6936  5 Mg 2.92-3.04, 1 Hg 3.14
8 Hg 0.2261 0.7261 0.5000  4 Mg 2.95, 4 Hg 3.14-3.19
9 Hg 0.3357 0.0000 0.3357  5 Mg 2.98-3.08, 1 Hg 3.19
10 Hg 0.3456 0.3456 0.0000  4 Mg 3.15, 5 Hg 3.16-3.44, 1 K 3.40
11 Hg 0.6642 0.0000 0.6643  5 Mg 2.98-3.08, 1 Hg 3.19
12 Hg 0.6663 0.6663 0.0000  6 Mg 3.14-3.20, 1 Hg 3.16, 1 K 3.29
13 Hg 0.7876 0.4811 0.3064  5 Mg 2.92-3.04, 1 Hg 3.14

---

Density functional theory data (PBE) for crystalline NpIO at its relaxed geometry.

The value obtained for the raw formation energy is -601 kJ/mol of formula units. The calculation puts the density of states at the Fermi level at 2.03 states/eV/atom.

Lattice parameters (Å, degrees): 4.0031 4.0031 9.9166 90.00 90.00 90.00
Closest atoms and distances in Å follow each position.
Fractional coordinates of all 6 atoms:
1 Np 0.2500 0.2500 0.1173  4 O 2.32
2 Np 0.7500 0.7500 0.8827  4 O 2.32
3 I 0.2500 0.2500 0.6941  4 Np 3.39, 4 O 3.63
4 I 0.7500 0.7500 0.3059  4 Np 3.39, 4 O 3.63
5 O 0.2500 0.7500 0.0000  4 Np 2.32
6 O 0.7500 0.2500 0.0000  4 Np 2.32

---

Density functional theory data (PBE) for crystalline Ta3SbOs at its relaxed geometry.

The value obtained for the raw formation energy is 480 kJ/mol of formula units. The calculation puts the density of states at the Fermi level at 1.49 states/eV/atom.

Lattice parameters (Å, degrees): 4.8835 4.8835 4.8835 90.00 90.00 90.00
Closest atoms and distances in Å follow each position.
Fractional coordinates of all 5 atoms:
1 Ta 0.0000 0.0000 0.5000  2 Os 2.44
2 Ta 0.0000 0.5000 0.0000  2 Os 2.44
3 Ta 0.5000 0.0000 0.0000  2 Os 2.44
4 Sb 0.5000 0.5000 0.5000  12 Ta 3.45
5 Os 0.0000 0.0000 0.0000  6 Ta 2.44

---

DFT total energy (eV/atom)
-2.22; -1.03; -8.56; -9.19